Record 1
Entry from the Alexandria database: crystalline CuHgW2 at its relaxed geometry (PBE).

Structure (extended XYZ):
```
4
Lattice="-4.032 -0.355 3.131 -2.457 -2.867 3.454 1.710 1.579 3.959" Properties=species:S:1:pos:R:3 pbc="T T T"
Cu -3.584 -1.232 7.908
Hg -1.195 -0.411 2.636
W -2.330 -0.784 5.276
W 1.650 1.541 3.955
```

Summary:
ΔH_f (0 K), eV per atom: 0.608
Space group: C2/m, No. 12
Fermi-level density of states, states/eV per atom: 0.633



Record 2
Entry from the Alexandria database: crystalline CuHgW2 at its relaxed geometry (PBE).

Structure (extended XYZ):
```
8
Lattice="-3.657 0.196 0.785 0.550 -2.063 3.077 0.037 7.433 7.255" Properties=species:S:1:pos:R:3 pbc="T T T"
W -2.695 3.956 8.798
W -0.131 0.595 3.841
W -2.181 1.721 2.683
W -1.133 4.859 6.912
Cu -1.554 -0.933 1.931
Cu -0.483 2.218 6.132
Hg -2.587 3.348 4.985
Hg 0.000 0.000 0.000
```

Summary:
ΔH_f (0 K), eV per atom: 0.969
Space group: I-42d, No. 122
Fermi-level density of states, states/eV per atom: 0.813



Record 3
Entry from the Alexandria database: crystalline CuHgW4 at its relaxed geometry (PBE).

Structure (extended XYZ):
```
6
Lattice="0.478 2.881 4.448 -3.869 3.366 1.417 -3.060 -1.087 4.215" Properties=species:S:1:pos:R:3 pbc="T T T"
W -4.347 3.612 4.492
W -2.186 3.371 5.998
W -3.945 1.399 5.883
W -2.424 1.939 3.787
Hg 0.000 0.000 0.000
Cu -4.838 3.870 7.560
```

Summary:
ΔH_f (0 K), eV per atom: 0.884
Space group: F-43m, No. 216
Fermi-level density of states, states/eV per atom: 0.932



Record 4
Entry from the Alexandria database: crystalline CuHgW2 at its relaxed geometry (PBE).

Structure (extended XYZ):
```
4
Lattice="-0.029 -2.100 1.758 3.721 1.099 1.374 -2.507 3.424 4.049" Properties=species:S:1:pos:R:3 pbc="T T T"
W 1.221 0.352 2.575
W -0.064 0.087 0.103
Cu -1.231 1.681 1.989
Hg 0.005 2.013 4.539
```

Summary:
ΔH_f (0 K), eV per atom: 0.572
Space group: Pmm2, No. 25
Fermi-level density of states, states/eV per atom: 0.693



> Fermi-level density of states of number 1 (CuHgW2)?

0.633 states/eV per atom



> Which of these has the lowest ΔH_f (0 K)?

number 4



> Which of these has the lowest Fermi-level density of states?

number 1



Copy entry 4 word for word.
Entry from the Alexandria database: crystalline CuHgW2 at its relaxed geometry (PBE).

Structure (extended XYZ):
```
4
Lattice="-0.029 -2.100 1.758 3.721 1.099 1.374 -2.507 3.424 4.049" Properties=species:S:1:pos:R:3 pbc="T T T"
W 1.221 0.352 2.575
W -0.064 0.087 0.103
Cu -1.231 1.681 1.989
Hg 0.005 2.013 4.539
```

Summary:
ΔH_f (0 K), eV per atom: 0.572
Space group: Pmm2, No. 25
Fermi-level density of states, states/eV per atom: 0.693